Entry P
# ZnCoP2O7

Crystalline ZnCoP2O7 at its relaxed geometry (PBE+U, Alexandria via LeMat-Bulk).

a b c (Å): 6.2293 6.4404 6.9678
angles (deg): 69.09 78.11 81.13
Element x y z (fractional)
Zn 0.0605 0.2169 0.2931
Zn 0.9395 0.7831 0.7069
Co 0.3380 0.4035 0.7113
Co 0.6620 0.5965 0.2887
P 0.1584 0.7074 0.2704
P 0.4058 0.8544 0.8286
P 0.5942 0.1456 0.1714
P 0.8416 0.2926 0.7296
O 0.0024 0.4298 0.7654
O 0.0415 0.8701 0.3841
O 0.2649 0.8683 0.0513
O 0.2705 0.7135 0.7659
O 0.3383 0.5485 0.3822
O 0.3659 0.2607 0.1222
O 0.4061 0.0959 0.6913
O 0.5939 0.9041 0.3087
O 0.6341 0.7393 0.8778
O 0.6617 0.4515 0.6178
O 0.7295 0.2865 0.2341
O 0.7351 0.1317 0.9487
O 0.9585 0.1299 0.6159
O 0.9976 0.5702 0.2346

The density of states at the Fermi level comes out at 0.00 states/eV/cell. The calculation puts the density at 3.9 g/cm³. The space group is P-1.


Entry Q
# ZnCoP2O7

Crystalline ZnCoP2O7 at its relaxed geometry (PBE+U, Alexandria via LeMat-Bulk).

a b c (Å): 7.0661 8.4129 9.1457
angles (deg): 90.00 113.17 90.00
Element x y z (fractional)
Zn 0.1956 0.0579 0.3168
Zn 0.1956 0.4421 0.8168
Zn 0.8044 0.5579 0.1832
Zn 0.8044 0.9421 0.6832
Co 0.2677 0.0718 0.8931
Co 0.2677 0.4282 0.3931
Co 0.7323 0.5718 0.6069
Co 0.7323 0.9282 0.1069
P 0.0334 0.7254 0.9691
P 0.0334 0.7746 0.4691
P 0.4402 0.7322 0.2588
P 0.4402 0.7678 0.7588
P 0.5598 0.2322 0.2412
P 0.5598 0.2678 0.7412
P 0.9666 0.2254 0.5309
P 0.9666 0.2746 0.0309
O 0.0160 0.0916 0.6546
O 0.0160 0.4084 0.1546
O 0.0557 0.6113 0.4001
O 0.0557 0.8887 0.9001
O 0.1220 0.2346 0.4510
O 0.1220 0.2654 0.9510
O 0.2500 0.6721 0.1010
O 0.2500 0.8279 0.6010
O 0.3799 0.2423 0.2966
O 0.3799 0.2577 0.7966
O 0.3892 0.6109 0.8143
O 0.3892 0.8891 0.3143
O 0.4762 0.5961 0.3795
O 0.4762 0.9039 0.8795
O 0.5238 0.0961 0.1205
O 0.5238 0.4039 0.6205
O 0.6108 0.1109 0.6857
O 0.6108 0.3891 0.1857
O 0.6201 0.7423 0.2034
O 0.6201 0.7577 0.7034
O 0.7500 0.1721 0.3990
O 0.7500 0.3279 0.8990
O 0.8780 0.7346 0.0490
O 0.8780 0.7654 0.5490
O 0.9443 0.1113 0.0999
O 0.9443 0.3887 0.5999
O 0.9840 0.5916 0.8454
O 0.9840 0.9084 0.3454

The density of states at the Fermi level comes out at 0.00 states/eV/cell. The calculation puts the density at 4.0 g/cm³. The space group is P2_1/c.


Short version: entry Q is the most stable of them.


Entry P
# ZrCoP2O

Crystalline ZrCoP2O at its relaxed geometry (PBE+U, Alexandria via LeMat-Bulk).

a b c (Å): 4.5921 4.5921 3.5229
angles (deg): 90.00 90.00 90.00
Element x y z (fractional)
Zr 0.0000 0.0000 0.0000
Co 0.5000 0.5000 0.5000
P 0.0000 0.5000 0.5000
P 0.5000 0.0000 0.5000
O 0.5000 0.5000 0.0000

The density of states at the Fermi level comes out at 1.92 states/eV/cell. The calculation puts the density at 5.1 g/cm³. The space group is P4/mmm.


Entry Q
# ZrCoP2O

Crystalline ZrCoP2O at its relaxed geometry (PBE+U, Alexandria via LeMat-Bulk).

a b c (Å): 5.1819 5.1819 3.9587
angles (deg): 90.00 90.00 90.00
Element x y z (fractional)
Zr 0.0000 0.0000 0.0000
Co 0.5000 0.5000 0.5000
P 0.0000 0.5000 0.0000
P 0.5000 0.0000 0.0000
O 0.0000 0.0000 0.5000

The density of states at the Fermi level comes out at 3.74 states/eV/cell. The calculation puts the density at 3.6 g/cm³. The space group is P4/mmm.


Short version: entry P is the most stable of them.


Entry P
# Co3PbO

Crystalline Co3PbO at its relaxed geometry (PBE+U, Alexandria via LeMat-Bulk).

a b c (Å): 4.0808 4.0808 4.0808
angles (deg): 90.00 90.00 90.00
Element x y z (fractional)
Co 0.0000 0.0000 0.5000
Co 0.0000 0.5000 0.0000
Co 0.5000 0.0000 0.0000
Pb 0.5000 0.5000 0.5000
O 0.0000 0.0000 0.0000

The density of states at the Fermi level comes out at 2.67 states/eV/cell. The calculation puts the density at 9.8 g/cm³. The space group is Pm-3m.


Entry Q
# Co3PbO

Crystalline Co3PbO at its relaxed geometry (PBE+U, Alexandria via LeMat-Bulk).

a b c (Å): 5.1916 5.1916 5.1916
angles (deg): 90.00 90.00 90.00
Element x y z (fractional)
Co 0.0000 0.0000 0.5000
Co 0.0000 0.5000 0.0000
Co 0.5000 0.0000 0.0000
Pb 0.0000 0.0000 0.0000
O 0.5000 0.5000 0.5000

The density of states at the Fermi level comes out at 9.71 states/eV/cell. The calculation puts the density at 4.7 g/cm³. The space group is Pm-3m.


Short version: entry P is the most stable of them.


Entry P
# CoPd3O

Crystalline CoPd3O at its relaxed geometry (PBE+U, Alexandria via LeMat-Bulk).

a b c (Å): 4.1781 4.1781 4.1781
angles (deg): 90.00 90.00 90.00
Element x y z (fractional)
Co 0.0000 0.0000 0.0000
Pd 0.0000 0.5000 0.5000
Pd 0.5000 0.0000 0.5000
Pd 0.5000 0.5000 0.0000
O 0.5000 0.5000 0.5000

The density of states at the Fermi level comes out at 5.17 states/eV/cell. The calculation puts the density at 9.0 g/cm³. The space group is Pm-3m.


Entry Q
# CoPd3O

Crystalline CoPd3O at its relaxed geometry (PBE+U, Alexandria via LeMat-Bulk).

a b c (Å): 4.5710 4.5710 4.5710
angles (deg): 90.00 90.00 90.00
Element x y z (fractional)
Co 0.0000 0.0000 0.0000
Pd 0.0000 0.0000 0.5000
Pd 0.0000 0.5000 0.0000
Pd 0.5000 0.0000 0.0000
O 0.5000 0.5000 0.5000

The density of states at the Fermi level comes out at 7.11 states/eV/cell. The calculation puts the density at 6.9 g/cm³. The space group is Pm-3m.


Short version: entry P is the most stable of them.